Here is a relaxed structure of Rb2AgSbCl6 from Alexandria. Energies are from PBEsol.

Results
Formation energy without anion corrections = -1238 meV per atom
Calculated total energy = -3.43 eV per atom

Lattice parameters (Å, degrees): 10.499 10.499 10.499 90.00 90.00 90.00
Space group Fm-3m (No. 225)
Symmetry-distinct sites (fractional):
Rb: 0.250 0.250 0.250
Ag: 0.000 0.000 0.000
Sb: 0.000 0.000 0.500
Cl: 0.000 0.000 0.250